1.
Below is CaZr2BrF at its PBEsol-relaxed geometry, with properties calculated at the SCAN level.

```
CaZr2BrF
1.0
-0.3275 -3.2904 -3.5911
4.6876 -1.1901 0.6630
-1.5821 -4.0725 3.8757
Ca Br Zr F
1 1 2 1
direct
0.0000 0.0000 0.5000
0.0000 0.0000 0.0000
0.0000 0.5000 0.0000
0.5000 0.0000 0.0000
0.5000 0.5000 0.5000
```

- formation energy (no corrections) (eV per atom) = 0.23
- total energy (eV per formula unit) = -92.91
- N(E_F) (states/eV/atom) = 1.186
- space group = P4/mmm (123)

---

2.
Below is BaBrF at its PBEsol-relaxed geometry, with properties calculated at the SCAN level.

```
BaBrF
1.0
-3.5111 1.8787 2.0513
-2.6705 -1.3524 -3.3324
-1.2884 -6.3481 3.6088
Ba Br F
2 2 2
direct
0.5000 0.0000 0.1930
0.0000 0.5000 0.8070
0.5000 0.0000 0.6480
0.0000 0.5000 0.3520
0.0000 0.0000 0.0000
0.5000 0.5000 0.0000
```

- formation energy (no corrections) (eV per atom) = -3.37
- total energy (eV per formula unit) = -72.65
- N(E_F) (states/eV/atom) = 0.000
- space group = P4/nmm (129)

---

3.
Below is MnZn2Ir at its PBEsol-relaxed geometry, with properties calculated at the SCAN level.

```
MnZn2Ir
1.0
-0.8830 2.8266 0.4720
-1.9758 0.0021 -3.7094
-3.5258 -1.4149 1.8772
Zn Ir Mn
2 1 1
direct
0.0000 0.0000 0.0000
0.5000 0.0000 0.5000
0.5000 0.5000 0.0000
0.0000 0.5000 0.5000
```

- energy of formation from the pure elements (eV per atom) = -0.29
- total energy (eV per formula unit) = -117.53
- N(E_F) (states/eV/atom) = 0.432
- space group = Pmmm (47)

---

4.
Below is NiTe2PdI at its PBEsol-relaxed geometry, with properties calculated at the SCAN level.

```
NiTe2PdI
1.0
5.1925 0.0000 0.0000
0.0000 5.1925 0.0000
0.0000 0.0000 5.3020
I Ni Te Pd
1 1 2 1
direct
0.0000 0.0000 0.5000
0.5000 0.5000 0.5000
0.0000 0.5000 0.0000
0.5000 0.0000 0.0000
0.0000 0.0000 0.0000
```

- formation energy (no corrections) (eV per atom) = 0.82
- total energy (eV per formula unit) = -156.11
- N(E_F) (states/eV/atom) = 1.226
- space group = P4/mmm (123)

---

5.
Below is HfAlMo3 at its PBEsol-relaxed geometry, with properties calculated at the SCAN level.

```
HfAlMo3
1.0
-1.0696 0.1190 4.3907
1.9510 -4.0358 0.5847
3.9352 2.0333 0.9035
Mo Hf Al
3 1 1
direct
0.0000 0.5000 0.0000
0.0000 0.0000 0.5000
0.5000 0.0000 0.0000
0.5000 0.5000 0.5000
0.0000 0.0000 0.0000
```

- energy of formation from the pure elements (eV per atom) = 1.19
- total energy (eV per formula unit) = -169.14
- N(E_F) (states/eV/atom) = 1.052
- space group = Pm-3m (221)

---

6.
Below is KFeCo at its PBEsol-relaxed geometry, with properties calculated at the SCAN level.

```
KFeCo
1.0
4.3557 0.0000 0.0000
2.1779 3.7722 0.0000
2.1779 1.2574 3.5564
Co Fe K
1 1 1
direct
0.2500 0.2500 0.2500
0.0000 0.0000 0.0000
0.5000 0.5000 0.5000
```

- energy of formation from the pure elements (eV per atom) = 1.57
- total energy (eV per formula unit) = -39.05
- N(E_F) (states/eV/atom) = 0.955
- space group = F-43m (216)
- energy above the lowest structure with this stoichiometry (meV/atom) = 837

---

What is the N(E_F) in the fifth record? 1.052 states/eV/atom